Density functional theory data (PBE-GGA) for an optimized crystal structure of HfNb2S5.

Values from the calculation:
As for the space group: Cmcm (63). The formation energy without anion corrections comes out at -1.051 eV per atom. The density of states at the Fermi level is 0.662 states/eV per atom. The total energy comes out at -7.39 eV per atom.

```
16
Lattice="-0.1637 -0.6679 4.8427 -0.0527 -5.6429 -3.2502 11.6262 -0.3103 0.3502" Properties=species:S:1:pos:R:3 pbc="T T T"
S 1.3329 -0.5431 -0.0298
S 0.8507 -4.1485 -0.5434
S 2.7563 -3.4478 2.0879
Nb 6.1705 -2.2259 -0.0984
S 10.5591 -2.4726 2.4861
S 4.4574 -0.6265 0.0643
S 6.6331 -2.3678 2.3679
Hf 8.5564 -4.1826 2.1826
Hf 2.8534 -2.4384 -0.2398
Nb 11.1761 -2.3595 0.0524
S 8.6535 -3.1733 -0.1451
S 4.7767 -4.2533 -0.4251
S 6.9524 -5.9946 1.8785
Nb 5.2393 -4.3952 2.0411
Nb 0.2337 -4.2616 1.8904
S 10.0769 -6.0780 1.9726
```